1.
5
Lattice="5.626 0.000 0.000 0.000 5.497 0.000 0.000 0.000 5.626" Properties=species:S:1:pos:R:3 comment="Cs2YTcRu PBE relaxed" ef_ev_per_fu=8.802 n_ef_per_ev_atom=0.848 magnetic_moment_mub_per_fu=2.03 e_tot_ev_per_atom=-3.80 pbc="T T T"
Cs 0.000 0.000 2.813
Ru 2.813 2.748 2.813
Tc 0.000 0.000 0.000
Cs 2.813 0.000 0.000
Y 0.000 2.748 0.000


2.
5
Lattice="-4.516 -1.171 1.652 -1.708 -0.717 -5.177 1.318 -4.765 0.225" Properties=species:S:1:pos:R:3 comment="CsZn2TcRu PBE relaxed" ef_ev_per_fu=8.818 n_ef_per_ev_atom=1.040 magnetic_moment_mub_per_fu=3.87 e_tot_ev_per_atom=-2.85 pbc="T T T"
Tc 0.000 0.000 0.000
Zn -2.258 -0.586 0.826
Ru -2.453 -3.327 -1.650
Zn 0.659 -2.382 0.113
Cs -0.854 -0.359 -2.588


Question: What is the formula in the first record?
Answer: Cs2YTcRu


Question: What is the formula in the first record?
Answer: Cs2YTcRu